# 1
Here is a relaxed SrBe3Zn crystal from Alexandria. Energies are from GGA-PBEsol.

Cell: 5.533 5.533 5.533 Å, 90.00 90.00 90.00°
Fractional positions:
1 Sr 0.000 0.000 0.000
2 Zn 0.500 0.500 0.500
3 Be 0.000 0.500 0.000
4 Be 0.000 0.000 0.500
5 Be 0.500 0.000 0.000

Computed properties:
The symmetry is Pm-3m. As for the total energy: -0.85 eV/atom.


# 2
Here is a relaxed Sr2BeZn crystal from Alexandria. Energies are from GGA-PBEsol.

Cell: 4.424 4.462 7.941 Å, 106.05 90.00 119.72°
Fractional positions:
1 Sr 0.754 0.508 0.763
2 Sr 0.246 0.492 0.237
3 Zn 0.000 0.000 0.500
4 Be 0.500 0.000 0.000

Computed properties:
The symmetry is C2/m. As for the total energy: -1.90 eV/atom. The value obtained for the offset from the most stable computed form is 21.0 kJ per mole of atoms.


# 3
Here is a relaxed Sr2BeZn crystal from Alexandria. Energies are from GGA-PBEsol.

Cell: 3.760 3.760 7.543 Å, 90.00 90.00 90.00°
Fractional positions:
1 Sr 0.000 0.000 0.242
2 Sr 0.000 0.000 0.758
3 Zn 0.500 0.500 0.500
4 Be 0.500 0.500 0.000

Computed properties:
The symmetry is P4/mmm. As for the total energy: -2.12 eV/atom. The value obtained for the offset from the most stable computed form is 0.0 kJ per mole of atoms.


# 4
Here is a relaxed SrZr2Be crystal from Alexandria. Energies are from GGA-PBEsol.

Cell: 4.342 4.342 5.538 Å, 113.08 113.08 90.00°
Fractional positions:
1 Sr 0.000 0.000 0.000
2 Zr 0.750 0.250 0.500
3 Zr 0.250 0.750 0.500
4 Be 0.500 0.500 0.000

Computed properties:
The symmetry is I4/mmm. As for the total energy: -5.33 eV/atom.


# 5
Here is a relaxed SrZr2Be crystal from Alexandria. Energies are from GGA-PBEsol.

Cell: 3.138 5.259 6.252 Å, 114.12 103.35 92.72°
Fractional positions:
1 Sr 0.000 0.500 0.000
2 Zr 0.000 0.000 0.500
3 Zr 0.500 0.500 0.500
4 Be 0.500 0.000 0.000

Computed properties:
The symmetry is C2/m. As for the total energy: -5.32 eV/atom.


# 6
Here is a relaxed SrZr2Be crystal from Alexandria. Energies are from GGA-PBEsol.

Cell: 3.356 4.834 6.178 Å, 113.03 105.76 90.00°
Fractional positions:
1 Sr 0.210 0.710 0.419
2 Zr 0.003 0.003 0.006
3 Zr 0.804 0.304 0.608
4 Be 0.483 0.483 0.966

Computed properties:
The symmetry is Imm2. As for the total energy: -5.46 eV/atom.


# 7
Here is a relaxed Sr2ZrBe crystal from Alexandria. Energies are from GGA-PBEsol.

Cell: 3.473 3.473 9.544 Å, 90.00 90.00 90.00°
Fractional positions:
1 Sr 0.000 0.000 0.924
2 Sr 0.500 0.500 0.296
3 Zr 0.000 0.000 0.582
4 Be 0.500 0.500 0.698

Computed properties:
The symmetry is P4mm. As for the total energy: -3.86 eV/atom.


# 8
Here is a relaxed TaBe crystal from Alexandria. Energies are from GGA-PBEsol.

Cell: 4.296 4.296 4.296 Å, 60.00 60.00 60.00°
Fractional positions:
1 Be 0.250 0.250 0.250
2 Be 0.000 0.000 0.000
3 Ta 0.750 0.750 0.750
4 Ta 0.500 0.500 0.500

Computed properties:
The symmetry is Fd-3m. As for the total energy: -7.70 eV/atom. The value obtained for the offset from the most stable computed form is 71.3 kJ per mole of atoms.


Please write out number 6 again, unchanged.
Here is a relaxed SrZr2Be crystal from Alexandria. Energies are from GGA-PBEsol.

Cell: 3.356 4.834 6.178 Å, 113.03 105.76 90.00°
Fractional positions:
1 Sr 0.210 0.710 0.419
2 Zr 0.003 0.003 0.006
3 Zr 0.804 0.304 0.608
4 Be 0.483 0.483 0.966

Computed properties:
The symmetry is Imm2. As for the total energy: -5.46 eV/atom.


Please write out number 7 again, unchanged.
Here is a relaxed Sr2ZrBe crystal from Alexandria. Energies are from GGA-PBEsol.

Cell: 3.473 3.473 9.544 Å, 90.00 90.00 90.00°
Fractional positions:
1 Sr 0.000 0.000 0.924
2 Sr 0.500 0.500 0.296
3 Zr 0.000 0.000 0.582
4 Be 0.500 0.500 0.698

Computed properties:
The symmetry is P4mm. As for the total energy: -3.86 eV/atom.